1.
! Ir4WAu PBE relaxed; values from VASP
&SYSTEM
  ibrav = 0, nat = 6, ntyp = 3
/
ATOMIC_SPECIES
W 183.84 W.upf
Ir 192.22 Ir.upf
Au 196.97 Au.upf
ATOMIC_POSITIONS angstrom
W 5.464 5.464 5.464
Ir 4.554 2.731 4.554
Ir 4.554 4.554 2.731
Au 0.000 0.000 0.000
Ir 2.731 2.731 2.731
Ir 2.731 4.554 4.554
CELL_PARAMETERS angstrom
0.000 3.642 3.642
3.642 0.000 3.642
3.642 3.642 0.000
! Uncorrected energy: -8.199 eV/atom
! Formation enthalpy at 0 K: 2.480 eV per formula unit
! D(E_F): 5.49 states/eV/cell
! Crystal system: cubic
! Space group: F-43m (216)


2.
! Ir2WAu PBE relaxed; values from VASP
&SYSTEM
  ibrav = 0, nat = 8, ntyp = 3
/
ATOMIC_SPECIES
W 183.84 W.upf
Au 196.97 Au.upf
Ir 192.22 Ir.upf
ATOMIC_POSITIONS angstrom
W 3.591 3.591 0.000
Au 7.182 3.591 1.377
Ir 8.978 8.710 2.066
Ir 2.063 5.387 0.689
Au 0.000 0.000 0.000
Ir 5.387 5.654 2.066
W 3.591 7.182 1.377
Ir 5.119 1.796 0.689
CELL_PARAMETERS angstrom
7.182 0.000 0.000
0.000 7.182 0.000
3.591 3.591 2.754
! Uncorrected energy: -7.990 eV/atom
! Formation enthalpy at 0 K: 1.991 eV per formula unit
! D(E_F): 4.60 states/eV/cell
! Crystal system: tetragonal
! Offset from the most stable computed form: 538 meV per atom
! Space group: I-42d (122)


3.
! Ir2WAu PBE relaxed; values from VASP
&SYSTEM
  ibrav = 0, nat = 4, ntyp = 3
/
ATOMIC_SPECIES
Ir 192.22 Ir.upf
Au 196.97 Au.upf
W 183.84 W.upf
ATOMIC_POSITIONS angstrom
Ir -1.301 -2.488 -0.128
Ir -0.033 -0.037 -0.004
Au -2.423 -3.686 2.091
W -1.088 -1.160 2.223
CELL_PARAMETERS angstrom
-0.842 0.205 4.579
-2.714 -0.116 -0.494
0.045 -4.935 0.229
! Uncorrected energy: -8.157 eV/atom
! Formation enthalpy at 0 K: 1.323 eV per formula unit
! D(E_F): 4.60 states/eV/cell
! Crystal system: monoclinic
! Offset from the most stable computed form: 371 meV per atom
! Space group: P2/m (10)


4.
! ZnIr2WAu PBE relaxed; values from VASP
&SYSTEM
  ibrav = 0, nat = 5, ntyp = 4
/
ATOMIC_SPECIES
Zn 65.41 Zn.upf
Ir 192.22 Ir.upf
W 183.84 W.upf
Au 196.97 Au.upf
ATOMIC_POSITIONS angstrom
Zn -1.436 -3.871 -0.832
Ir -2.145 -0.799 0.637
W 0.000 0.000 0.000
Au -0.279 -1.072 -2.286
Ir 0.988 -2.000 0.817
CELL_PARAMETERS angstrom
-4.289 -1.598 1.273
-0.558 -2.144 -4.572
1.975 -4.000 1.635
! Uncorrected energy: -5.532 eV/atom
! Formation enthalpy at 0 K: 7.569 eV per formula unit
! D(E_F): 5.71 states/eV/cell
! Crystal system: tetragonal
! Space group: P4/mmm (123)


5.
! Y3IrAu2 PBE relaxed; values from VASP
&SYSTEM
  ibrav = 0, nat = 6, ntyp = 3
/
ATOMIC_SPECIES
Au 196.97 Au.upf
Y 88.91 Y.upf
Ir 192.22 Ir.upf
ATOMIC_POSITIONS angstrom
Au 1.778 1.778 8.829
Y 0.000 0.000 6.955
Y 0.000 0.000 3.683
Ir 1.778 1.778 5.319
Au 1.778 1.778 1.809
Y 0.000 0.000 0.000
CELL_PARAMETERS angstrom
3.556 0.000 0.000
0.000 3.556 0.000
0.000 0.000 10.638
! Uncorrected energy: -6.642 eV/atom
! Formation enthalpy at 0 K: -5.044 eV per formula unit
! D(E_F): 4.16 states/eV/cell
! Crystal system: tetragonal
! Space group: P4/mmm (123)


6.
! YIrAu2 PBE relaxed; values from VASP
&SYSTEM
  ibrav = 0, nat = 4, ntyp = 3
/
ATOMIC_SPECIES
Au 196.97 Au.upf
Ir 192.22 Ir.upf
Y 88.91 Y.upf
ATOMIC_POSITIONS angstrom
Au 7.792 3.410 2.830
Ir 5.195 2.273 1.887
Au 8.661 3.790 -0.003
Y 2.597 1.137 0.943
CELL_PARAMETERS angstrom
5.177 -0.040 -0.002
3.484 3.830 -0.002
1.729 0.756 3.777
! Uncorrected energy: -5.943 eV/atom
! Formation enthalpy at 0 K: -1.892 eV per formula unit
! D(E_F): 1.37 states/eV/cell
! Crystal system: tetragonal
! Offset from the most stable computed form: 18 meV per atom
! Space group: I-4m2 (119)


7.
! YIrAu PBE relaxed; values from VASP
&SYSTEM
  ibrav = 0, nat = 3, ntyp = 3
/
ATOMIC_SPECIES
Au 196.97 Au.upf
Y 88.91 Y.upf
Ir 192.22 Ir.upf
ATOMIC_POSITIONS angstrom
Au 0.008 0.067 0.005
Y 2.287 3.709 1.133
Ir 0.401 1.917 2.132
CELL_PARAMETERS angstrom
-1.504 -0.026 3.120
3.428 -0.412 -0.274
0.771 6.131 0.423
! Uncorrected energy: -6.274 eV/atom
! Formation enthalpy at 0 K: -0.219 eV per formula unit
! D(E_F): 1.65 states/eV/cell
! Crystal system: trigonal
! Offset from the most stable computed form: 393 meV per atom
! Space group: P3m1 (156)


8.
! Y4IrAu PBE relaxed; values from VASP
&SYSTEM
  ibrav = 0, nat = 24, ntyp = 3
/
ATOMIC_SPECIES
Ir 192.22 Ir.upf
Y 88.91 Y.upf
Au 196.97 Au.upf
ATOMIC_POSITIONS angstrom
Ir 1.192 6.819 5.005
Y 3.575 7.163 6.845
Ir 3.575 1.585 10.751
Y 1.192 1.128 5.287
Y 1.192 0.732 12.205
Y 1.192 0.292 1.259
Au 1.192 2.209 14.800
Ir 3.575 5.787 12.883
Y 3.575 8.112 14.496
Y 3.575 2.960 1.032
Y 3.575 7.673 3.551
Y 3.575 3.470 4.327
Y 3.575 7.276 10.469
Y 1.192 4.495 6.618
Ir 1.192 2.617 2.873
Y 3.575 3.910 9.137
Y 1.192 1.242 8.910
Au 3.575 6.196 0.956
Y 3.575 3.074 13.164
Y 1.192 5.330 2.591
Au 1.192 6.411 8.834
Au 3.575 1.994 6.922
Y 1.192 4.934 11.429
Y 1.192 5.444 14.723
CELL_PARAMETERS angstrom
4.766 0.000 0.000
0.000 8.404 0.000
0.000 0.000 15.756
! Uncorrected energy: -6.955 eV/atom
! Formation enthalpy at 0 K: -3.734 eV per formula unit
! D(E_F): 25.91 states/eV/cell
! Crystal system: orthorhombic
! Offset from the most stable computed form: 0 meV per atom
! Space group: Pnma (62)